Entry 1:
# Ce4SiBiTe2

A relaxed structure of Ce4SiBiTe2 (GGA-PBE, the Alexandria database).

DOS(E_F): 3.216 states/eV per atom
formation energy without anion corrections: -1.02 eV per atom

a = 7.692 Å, b = 4.428 Å, c = 7.791 Å
α = 90.00°, β = 109.12°, γ = 90.00°
Atoms (fractional coordinates):
1 Ce 0.230 0.000 0.228
2 Ce 0.241 0.500 0.764
3 Ce 0.759 0.500 0.236
4 Ce 0.770 0.000 0.772
5 Si 0.000 0.500 0.000
6 Bi 0.000 0.000 0.500
7 Te 0.500 0.000 0.000
8 Te 0.500 0.500 0.500



Entry 2:
# CeSmBi2

A relaxed structure of CeSmBi2 (GGA-PBE, the Alexandria database).

DOS(E_F): 1.895 states/eV per atom
final energy: -21.12 eV/cell

a = 4.177 Å, b = 4.177 Å, c = 6.951 Å
α = 90.00°, β = 90.00°, γ = 90.00°
Atoms (fractional coordinates):
1 Ce 0.000 0.000 0.000
2 Sm 0.000 0.000 0.500
3 Bi 0.500 0.500 0.251
4 Bi 0.500 0.500 0.749



Entry 3:
# CeSm3Bi4

A relaxed structure of CeSm3Bi4 (GGA-PBE, the Alexandria database).

DOS(E_F): 0.978 states/eV per atom
final energy: -85.53 eV/cell

a = 9.144 Å, b = 12.913 Å, c = 4.566 Å
α = 90.00°, β = 90.00°, γ = 90.00°
Atoms (fractional coordinates):
1 Ce 0.000 0.000 0.000
2 Ce 0.500 0.500 0.000
3 Sm 0.000 0.500 0.000
4 Sm 0.250 0.250 0.500
5 Sm 0.250 0.750 0.500
6 Sm 0.500 0.000 0.000
7 Sm 0.750 0.250 0.500
8 Sm 0.750 0.750 0.500
9 Bi 0.000 0.250 0.000
10 Bi 0.000 0.750 0.000
11 Bi 0.250 0.000 0.500
12 Bi 0.250 0.500 0.500
13 Bi 0.500 0.250 0.000
14 Bi 0.500 0.750 0.000
15 Bi 0.750 0.000 0.500
16 Bi 0.750 0.500 0.500



Entry 4:
# Ce2SmBi4

A relaxed structure of Ce2SmBi4 (GGA-PBE, the Alexandria database).

DOS(E_F): 1.095 states/eV per atom
final energy: -74.14 eV/cell

a = 8.286 Å, b = 8.286 Å, c = 8.286 Å
α = 109.44°, β = 109.44°, γ = 109.53°
Atoms (fractional coordinates):
1 Ce 0.001 0.125 0.376
2 Ce 0.375 0.999 0.124
3 Ce 0.749 0.625 0.624
4 Ce 0.875 0.251 0.876
5 Sm 0.250 0.750 0.500
6 Sm 0.500 0.500 0.000
7 Bi 0.123 0.032 0.749
8 Bi 0.124 0.533 0.751
9 Bi 0.283 0.374 0.251
10 Bi 0.467 0.218 0.591
11 Bi 0.626 0.877 0.909
12 Bi 0.627 0.876 0.409
13 Bi 0.782 0.373 0.249
14 Bi 0.968 0.717 0.091